[1]
! PBE CdFe, relaxed; values from VASP
! total DFT energy (no corrections) = -17.7 eV/cell
! SG = Cmme, No. 67
! theoretical density = 8.40 g cm⁻³
&SYSTEM
  ibrav = 0, nat = 4, ntyp = 2
/
ATOMIC_SPECIES
Cd 112.41 Cd.upf
Fe 55.84 Fe.upf
ATOMIC_POSITIONS angstrom
Cd 1.661 1.131 7.501
Cd 1.661 -1.131 1.348
Fe 1.661 1.131 3.585
Fe 1.661 -1.131 5.265
CELL_PARAMETERS angstrom
1.661 -2.262 0.000
1.661 2.262 0.000
0.000 0.000 8.849



[2]
! PBE Pm6NdDy2Tm, relaxed; values from VASP
! total DFT energy (no corrections) = -91.6 eV/cell
! SG = C2/c, No. 15
! theoretical density = 7.41 g cm⁻³
&SYSTEM
  ibrav = 0, nat = 20, ntyp = 4
/
ATOMIC_SPECIES
Pm 145.00 Pm.upf
Nd 144.24 Nd.upf
Dy 162.50 Dy.upf
Tm 168.93 Tm.upf
ATOMIC_POSITIONS angstrom
Pm 2.436 4.229 1.786
Pm 3.419 4.874 5.307
Pm 4.103 4.874 9.034
Pm 3.277 1.674 3.656
Pm 6.244 4.229 2.995
Pm 5.403 1.674 1.125
Pm 2.698 -1.674 8.437
Pm 1.857 -4.229 6.567
Pm 4.824 -1.674 5.905
Pm 3.999 -4.874 0.527
Pm 4.682 -4.874 4.254
Pm 5.665 -4.229 7.775
Nd 4.340 7.224 2.390
Nd 3.761 -7.224 7.171
Dy 2.287 0.763 0.450
Dy 1.707 -0.763 5.230
Dy 6.394 0.763 4.331
Dy 5.815 -0.763 9.112
Tm 3.761 1.352 7.171
Tm 4.340 -1.352 2.390
CELL_PARAMETERS angstrom
4.630 -7.631 0.000
4.630 7.631 0.000
-1.159 0.000 9.561



[3]
! PBE Cu6Pt, relaxed; values from VASP
! SG = R-3m, No. 166
! theoretical density = 10.87 g cm⁻³
! energy above the most stable polymorph in this dataset = 0 meV/atom
&SYSTEM
  ibrav = 0, nat = 7, ntyp = 2
/
ATOMIC_SPECIES
Cu 63.55 Cu.upf
Pt 195.08 Pt.upf
ATOMIC_POSITIONS angstrom
Cu 0.000 0.000 1.287
Cu 0.000 0.000 3.903
Cu 0.000 0.000 6.342
Cu 0.000 0.000 11.478
Cu 0.000 0.000 13.918
Cu 0.000 0.000 16.533
Pt 0.000 0.000 8.910
CELL_PARAMETERS angstrom
2.068 1.194 5.940
-2.068 1.194 5.940
0.000 -2.388 5.940



[4]
! PBE RbCd2Sb, relaxed; values from VASP
! SG = P4/nmm, No. 129
! theoretical density = 5.15 g cm⁻³
! energy relative to the elements, uncorrected = -0.193 eV per atom
&SYSTEM
  ibrav = 0, nat = 8, ntyp = 3
/
ATOMIC_SPECIES
Rb 85.47 Rb.upf
Cd 112.41 Cd.upf
Sb 121.76 Sb.upf
ATOMIC_POSITIONS angstrom
Rb 1.207 1.207 2.871
Rb 3.622 3.622 9.073
Cd 1.207 1.207 11.225
Cd 1.207 3.622 5.972
Cd 3.622 1.207 5.972
Cd 3.622 3.622 0.719
Sb 1.207 1.207 7.736
Sb 3.622 3.622 4.208
CELL_PARAMETERS angstrom
4.829 0.000 0.000
0.000 4.829 0.000
0.000 0.000 11.944



[5]
! PBE AcTbRu, relaxed; values from VASP
! SG = P2_1/c, No. 14
! theoretical density = 8.56 g cm⁻³
! energy above the most stable polymorph in this dataset = 27 meV/atom
&SYSTEM
  ibrav = 0, nat = 12, ntyp = 3
/
ATOMIC_SPECIES
Ac 227.00 Ac.upf
Tb 158.93 Tb.upf
Ru 101.07 Ru.upf
ATOMIC_POSITIONS angstrom
Ac -1.335 0.535 3.061
Ac -4.420 3.016 6.976
Ac 5.043 4.085 0.855
Ac 1.958 6.566 4.770
Tb -1.229 4.086 4.779
Tb 1.857 6.565 0.863
Tb -1.234 0.536 6.968
Tb 1.852 3.015 3.053
Ru 0.217 5.230 2.636
Ru -2.868 5.422 6.552
Ru 3.491 1.679 1.279
Ru 0.406 1.871 5.195
CELL_PARAMETERS angstrom
6.794 0.000 0.000
0.000 7.101 0.000
-6.171 0.000 7.831



[6]
! PBE Tl2CoHg, relaxed; values from VASP
! SG = P4mm, No. 99
! theoretical density = 12.18 g cm⁻³
! energy above the most stable polymorph in this dataset = 52 meV/atom
&SYSTEM
  ibrav = 0, nat = 4, ntyp = 3
/
ATOMIC_SPECIES
Tl 204.38 Tl.upf
Co 58.93 Co.upf
Hg 200.59 Hg.upf
ATOMIC_POSITIONS angstrom
Tl 0.000 0.000 0.000
Tl 1.640 1.640 2.772
Co 0.000 0.000 4.428
Hg 1.640 1.640 5.947
CELL_PARAMETERS angstrom
3.281 0.000 0.000
0.000 3.281 0.000
0.000 0.000 8.464